## SrAgSeO4 (PBE-GGA)

Data for a relaxed SrAgSeO4 crystal.

Unit cell a=6.530 b=6.822 c=6.822 alpha=74.86 beta=61.41 gamma=61.41
Positions (direct):
Sr (0.000, 0.000, 0.000)
Sr (0.000, 0.500, 0.500)
Ag (0.500, 0.000, 0.500)
Ag (0.000, 0.000, 0.500)
Se (0.592, 0.658, 0.158)
Se (0.408, 0.342, 0.842)
O (0.704, 0.714, 0.879)
O (0.296, 0.621, 0.786)
O (0.704, 0.379, 0.214)
O (0.296, 0.286, 0.121)
O (0.217, 0.759, 0.259)
O (0.765, 0.759, 0.259)
O (0.235, 0.241, 0.741)
O (0.783, 0.241, 0.741)

Properties
- E_tot (eV per cell) = -71.92
- calculated volume (Å³/atom) = 16.7
- theoretical density (Mg/m³) = 4.802
- SG = No. 74